Pb2Au2I after structural relaxation. Source: Alexandria via LeMat-Bulk, functional PBE-GGA.

Results
The value obtained for the total energy is -3.137 eV per atom. The formation energy without anion corrections comes out at -0.032 eV per atom.

Structure (CIF):
```
data_Pb2Au2I
_space_group_name_H-M_alt 'P 4/m b m'
_space_group_IT_number 127
_space_group_name_Hall '-P 4 2ab'
_cell_length_a 8.341
_cell_length_b 8.341
_cell_length_c 3.933
_cell_angle_alpha 90.00
_cell_angle_beta 90.00
_cell_angle_gamma 90.00
loop_
_atom_site_label
_atom_site_type_symbol
_atom_site_fract_x
_atom_site_fract_y
_atom_site_fract_z
Pb1 Pb 0.160 0.340 0.000
Au1 Au 0.128 0.628 0.500
I1 I 0.000 0.000 0.500
```